(1)
First-principles (PBE) data for an optimized crystal structure of ZrSn2Au2, as listed in the Open Quantum Materials Database.

The structure in extended XYZ format:
```
5
Lattice="-2.173 2.173 6.101 2.173 -2.173 6.101 2.173 2.173 -6.101" Properties=species:S:1:pos:R:3 pbc="T T T"
Zr 0.000 0.000 0.000
Sn 2.173 0.000 3.051
Sn 0.000 2.173 3.051
Au 0.000 0.000 4.806
Au 0.000 0.000 7.396
```

Values from the calculation:
space group: I4/mmm
calculated total energy: -4.59 eV/atom
magnetic moment: 0.0 μB per formula unit


(2)
First-principles (PBE) data for an optimized crystal structure of TlCdNiMo, as listed in the Open Quantum Materials Database.

The structure in extended XYZ format:
```
4
Lattice="0.000 3.285 3.285 3.285 0.000 3.285 3.285 3.285 0.000" Properties=species:S:1:pos:R:3 pbc="T T T"
Tl 0.000 0.000 0.000
Cd 3.285 3.285 3.285
Ni 1.642 1.642 1.642
Mo 4.927 4.927 4.927
```

Values from the calculation:
space group: F-43m
calculated total energy: -4.29 eV/atom
magnetic moment: 2.2 μB per formula unit